The following is a PBE calculation of a relaxed structure of AcPrAs2, from Alexandria via LeMat-Bulk.

The calculated formation energy comes out at -1.083 eV per atom. The calculation puts the total energy at -22.519 eV per cell. The calculation puts the distance to the lowest polymorph of the same formula at 0.396 eV per atom.

The space group is P4/mmm (No. 123) and the conventional cell measures 5.386, 5.386 and 3.780 Å, with angles of 90.00, 90.00 and 90.00 degrees. The inequivalent atoms are Ac at (0.000, 0.000, 0.000), Pr at (0.500, 0.500, 0.000) and As at (0.000, 0.500, 0.500).